The following is a PBE+U calculation of a relaxed structure of CrSbO4, from the Alexandria database.

Structure (extended XYZ):
```
6
Lattice="5.228 0.000 0.000 0.000 3.120 0.000 -1.808 0.000 5.036" Properties=species:S:1:pos:R:3 pbc="T T T"
Cr 0.000 0.000 0.000
Sb -0.904 1.560 2.518
O 0.571 1.560 1.183
O -0.234 0.000 3.684
O 3.653 0.000 1.351
O 2.849 1.560 3.853
```

* space-group type: P2/m
* magnetic moment: 0.500 μB/atom
* raw total energy: -40.73 eV per cell
* DOS at the Fermi energy: 0.00 states/eV per atom